AlIrW2 after structural relaxation, computed with GGA-PBE.

a = 6.250 Å, b = 6.250 Å, c = 6.250 Å
α = 90.00°, β = 90.00°, γ = 90.00°
Space group F-43m (No. 216)
Symmetry-distinct sites (fractional):
Al (0.000, 0.000, 0.000) x4
Ir (0.250, 0.250, 0.750) x4
W (0.000, 0.000, 0.500) x4
W (0.250, 0.250, 0.250) x4

total moment	0.0	μB/f.u.
energy relative to the elements	-0.12	eV/atom
DOS(E_F)	6.69	states/eV per cell